# 1
Compound: Cs2SiBiSe4
Source: Alexandria
Functional: PBE
Structure: relaxed

## Properties
Magnetization = 0.000 μB/f.u.
Uncorrected energy = -3.7913 eV/atom

abc: 7.2801 14.3755 25.2865
angles: 90.00 90.00 90.00
Closest atoms and distances in Å follow each position.
Space group Fddd (No. 70, origin choice 2)
Asymmetric unit:
Cs  0.1250  0.1250  0.3017 (multiplicity 16)  6 Se 3.80-4.22
Si  0.1250  0.1250  0.6250 (multiplicity 8)  4 Se 2.30
Bi  0.1250  0.1250  0.1250 (multiplicity 8)  4 Se 2.95
Se  0.0603  0.2775  0.8268 (multiplicity 32)  1 Si 2.30

=====

# 2
Compound: PuAsO4
Source: Alexandria
Functional: PBE
Structure: relaxed

## Properties
Magnetization = 5.000 μB/f.u.
Uncorrected energy = -8.4981 eV/atom

abc: 6.7595 7.1883 8.3238
angles: 90.00 125.80 90.00
Closest atoms and distances in Å follow each position.
Space group P2_1/c (No. 14)
Asymmetric unit:
Pu  0.1905  0.1561  0.2864 (multiplicity 4)  8 O 2.43-2.64
As  0.3059  0.6644  0.1944 (multiplicity 4)  4 O 1.72-1.73
O  0.1006  0.6541  0.6046 (multiplicity 4)  1 As 1.72
O  0.1668  0.0044  0.7443 (multiplicity 4)  1 As 1.73
O  0.3508  0.6073  0.0162 (multiplicity 4)  1 As 1.73
O  0.3943  0.2158  0.1183 (multiplicity 4)  1 As 1.73

=====

# 3
Compound: K2BaCr
Source: Alexandria
Functional: PBE
Structure: relaxed

## Properties
Relative energy among the computed polymorphs = 0.831 eV per formula unit
Magnetization = 4.885 μB/f.u.
ΔH_f (0 K) = 0.74 eV per atom

abc: 9.1745 9.1745 9.1745
angles: 90.00 90.00 90.00
Closest atoms and distances in Å follow each position.
Space group Fm-3m (No. 225)
Asymmetric unit:
K  0.2500  0.2500  0.2500 (multiplicity 8)  4 Cr 3.97, 4 Ba 3.97
Ba  0.0000  0.0000  0.0000 (multiplicity 4)  8 K 3.97
Cr  0.0000  0.0000  0.5000 (multiplicity 4)  8 K 3.97

=====

# 4
Compound: InNi7Sn2As2
Source: Alexandria
Functional: PBE
Structure: relaxed

## Properties
Magnetization = 0.000 μB/f.u.
ΔH_f (0 K) = -0.15 eV per atom

abc: 5.1418 5.1402 14.9972
angles: 90.00 99.76 90.00
Closest atoms and distances in Å follow each position.
Space group C2/m (No. 12)
Asymmetric unit:
In  0.0000  0.0000  0.0000 (multiplicity 2)  12 Ni 2.57-2.69
Ni  0.0000  0.5000  0.0000 (multiplicity 2)  4 In 2.57, 8 Ni 2.68-2.69
Ni  0.1846  0.2498  0.8663 (multiplicity 8)  2 As 2.32, 4 Ni 2.57
Ni  0.1935  0.5000  0.3881 (multiplicity 4)  1 As 2.32
Sn  0.2125  0.0000  0.4258 (multiplicity 4)  5 Ni 2.63-2.75
As  0.1134  0.5000  0.2313 (multiplicity 4)  5 Ni 2.32

=====

# 5
Compound: ZrCo3N
Source: Alexandria
Functional: PBE
Structure: relaxed

## Properties
Relative energy among the computed polymorphs = 0.000 eV per formula unit
Magnetization = 2.123 μB/f.u.

abc: 3.8690 3.8690 3.8690
angles: 90.00 90.00 90.00
Closest atoms and distances in Å follow each position.
Space group Pm-3m (No. 221)
Asymmetric unit:
Zr  0.0000  0.0000  0.0000 (multiplicity 1)  12 Co 2.74
Co  0.0000  0.5000  0.5000 (multiplicity 3)  2 N 1.93
N  0.5000  0.5000  0.5000 (multiplicity 1)  6 Co 1.93

=====

# 6
Compound: KCdFe
Source: Alexandria
Functional: PBE
Structure: relaxed

## Properties
Relative energy among the computed polymorphs = 0.000 eV per formula unit
Magnetization = 2.592 μB/f.u.
ΔH_f (0 K) = 0.60 eV per atom

abc: 2.9226 4.4143 12.2915
angles: 90.00 90.00 90.00
Closest atoms and distances in Å follow each position.
Space group Imm2 (No. 44)
Asymmetric unit:
K  0.0000  0.0000  0.0000 (multiplicity 2)  2 K 2.92
Cd  0.0000  0.0000  0.7192 (multiplicity 2)  4 Fe 2.74, 2 Cd 2.92
Fe  0.0000  0.0000  0.2758 (multiplicity 2)  4 Cd 2.74, 2 Fe 2.92

=====

# 7
Compound: TlTe2Ir
Source: Alexandria
Functional: PBE
Structure: relaxed

## Properties
Relative energy among the computed polymorphs = 1.110 eV per formula unit
Magnetization = 0.000 μB/f.u.

abc: 3.1919 3.6542 18.9572
angles: 90.00 90.00 90.00
Closest atoms and distances in Å follow each position.
Space group Imm2 (No. 44)
Asymmetric unit:
Tl  0.0000  0.0000  0.0000 (multiplicity 2)  2 Tl 3.19
Te  0.0000  0.0000  0.3533 (multiplicity 2)  2 Ir 2.71
Te  0.0000  0.5000  0.6787 (multiplicity 2)  4 Ir 2.75
Ir  0.0000  0.5000  0.2474 (multiplicity 2)  6 Te 2.71-2.75

=====

# 8
Compound: LuThScTl
Source: Alexandria
Functional: PBE
Structure: relaxed

## Properties
Magnetization = 1.289 μB/f.u.
ΔH_f (0 K) = 0.08 eV per atom

abc: 7.5338 7.5338 7.5338
angles: 90.00 90.00 90.00
Closest atoms and distances in Å follow each position.
Space group F-43m (No. 216)
Asymmetric unit:
Lu  0.0000  0.0000  0.0000 (multiplicity 4)  4 Th 3.26, 4 Tl 3.26
Th  0.2500  0.2500  0.7500 (multiplicity 4)  4 Sc 3.26, 4 Lu 3.26
Sc  0.0000  0.0000  0.5000 (multiplicity 4)  4 Tl 3.26, 4 Th 3.26
Tl  0.2500  0.2500  0.2500 (multiplicity 4)  4 Sc 3.26, 4 Lu 3.26

=====

| no. | V (Å³/f.u.) |
| --- | --- |
| 1 | 330.8 |
| 2 | 82.0 |
| 3 | 193.1 |
| 4 | 195.3 |
| 5 | 57.9 |
| 6 | 79.3 |
| 7 | 110.6 |
| 8 | 106.9 |